An optimized crystal structure of TmAuCl6. Source: Alexandria, functional PBE.

The structure in CIF format:
```
data_TmAuCl6
_cell_length_a 7.674
_cell_length_b 8.128
_cell_length_c 6.903
_cell_angle_alpha 60.47
_cell_angle_beta 60.55
_cell_angle_gamma 41.90
_symmetry_space_group_name_H-M 'P 1'
_symmetry_Int_Tables_number 1
loop_
_symmetry_equiv_pos_as_xyz
'x,y,z'
loop_
_atom_site_label
_atom_site_type_symbol
_atom_site_fract_x
_atom_site_fract_y
_atom_site_fract_z
Au1 Au 0.000 0.000 0.000
Cl1 Cl 0.123 0.509 0.674
Cl2 Cl 0.711 0.097 0.849
Cl3 Cl 0.877 0.491 0.326
Cl4 Cl 0.289 0.903 0.151
Cl5 Cl 0.631 0.199 0.296
Cl6 Cl 0.369 0.801 0.704
Tm1 Tm 0.500 0.500 0.500
```

## Properties
As for the magnetic moment: 0.0 μB per formula unit. The formation energy without anion corrections is -1168 meV per atom.

---

An optimized crystal structure of Pr5NdSm3. Source: Alexandria, functional PBE.

The structure in CIF format:
```
data_Pr5NdSm3
_cell_length_a 6.324
_cell_length_b 11.241
_cell_length_c 11.756
_cell_angle_alpha 123.73
_cell_angle_beta 90.00
_cell_angle_gamma 106.34
_symmetry_space_group_name_H-M 'P 1'
_symmetry_Int_Tables_number 1
loop_
_symmetry_equiv_pos_as_xyz
'x,y,z'
loop_
_atom_site_label
_atom_site_type_symbol
_atom_site_fract_x
_atom_site_fract_y
_atom_site_fract_z
Pr1 Pr 0.457 0.282 0.628
Pr2 Pr 0.409 0.000 0.750
Pr3 Pr 0.825 0.282 0.128
Sm1 Sm 0.052 0.645 0.173
Pr4 Pr 0.543 0.718 0.372
Pr5 Pr 0.983 0.358 0.521
Sm2 Sm 0.593 0.645 0.673
Nd1 Nd 0.108 0.000 0.250
Pr6 Pr 0.175 0.718 0.872
Sm3 Sm 0.000 0.000 0.000
Nd2 Nd 0.892 0.000 0.750
Sm4 Sm 0.407 0.355 0.327
Pr7 Pr 0.591 0.000 0.250
Sm5 Sm 0.000 0.000 0.500
Pr8 Pr 0.375 0.358 0.021
Pr9 Pr 0.625 0.642 0.979
Sm6 Sm 0.948 0.355 0.827
Pr10 Pr 0.017 0.642 0.479
```

## Properties
The density of states at the Fermi level is 25.56 states/eV/cell. As for the formation energy from the elements: 0.257 eV/atom. As for the magnetic moment: 0.0 μB per formula unit. The calculation puts the energy above the lowest structure with this stoichiometry at 0 meV/atom.

---

An optimized crystal structure of ScMn. Source: Alexandria, functional PBE.

The structure in CIF format:
```
data_ScMn
_cell_length_a 4.686
_cell_length_b 4.686
_cell_length_c 4.686
_cell_angle_alpha 60.00
_cell_angle_beta 60.00
_cell_angle_gamma 60.00
_symmetry_space_group_name_H-M 'P 1'
_symmetry_Int_Tables_number 1
loop_
_symmetry_equiv_pos_as_xyz
'x,y,z'
loop_
_atom_site_label
_atom_site_type_symbol
_atom_site_fract_x
_atom_site_fract_y
_atom_site_fract_z
Mn1 Mn 0.250 0.250 0.250
Sc1 Sc 0.750 0.750 0.750
Sc2 Sc 0.500 0.500 0.500
Mn2 Mn 0.000 0.000 0.000
```

## Properties
The density of states at the Fermi level is 7.61 states/eV/cell. As for the formation energy from the elements: 0.255 eV/atom. As for the magnetic moment: 3.3 μB per formula unit.

---

An optimized crystal structure of NaAcGdAg. Source: Alexandria, functional PBE.

The structure in CIF format:
```
data_NaAcGdAg
_cell_length_a 5.587
_cell_length_b 5.587
_cell_length_c 5.587
_cell_angle_alpha 60.00
_cell_angle_beta 60.00
_cell_angle_gamma 60.00
_symmetry_space_group_name_H-M 'P 1'
_symmetry_Int_Tables_number 1
loop_
_symmetry_equiv_pos_as_xyz
'x,y,z'
loop_
_atom_site_label
_atom_site_type_symbol
_atom_site_fract_x
_atom_site_fract_y
_atom_site_fract_z
Na1 Na 0.250 0.250 0.250
Ac1 Ac 0.000 0.000 0.000
Gd1 Gd 0.500 0.500 0.500
Ag1 Ag 0.750 0.750 0.750
```

## Properties
The density of states at the Fermi level is 6.90 states/eV/cell. As for the formation energy from the elements: 0.080 eV/atom. As for the magnetic moment: 7.9 μB per formula unit.

---

An optimized crystal structure of ZnSi2Ir2. Source: Alexandria, functional PBE.

The structure in CIF format:
```
data_ZnSi2Ir2
_cell_length_a 7.167
_cell_length_b 7.167
_cell_length_c 2.797
_cell_angle_alpha 90.00
_cell_angle_beta 90.00
_cell_angle_gamma 90.00
_symmetry_space_group_name_H-M 'P 1'
_symmetry_Int_Tables_number 1
loop_
_symmetry_equiv_pos_as_xyz
'x,y,z'
loop_
_atom_site_label
_atom_site_type_symbol
_atom_site_fract_x
_atom_site_fract_y
_atom_site_fract_z
Ir1 Ir 0.147 0.353 0.000
Ir2 Ir 0.353 0.853 0.000
Ir3 Ir 0.853 0.647 0.000
Si1 Si 0.149 0.649 0.500
Ir4 Ir 0.647 0.147 0.000
Zn1 Zn 0.500 0.500 0.000
Si2 Si 0.851 0.351 0.500
Si3 Si 0.351 0.149 0.500
Si4 Si 0.649 0.851 0.500
Zn2 Zn 0.000 0.000 0.000
```

## Properties
The density of states at the Fermi level is 3.59 states/eV/cell. As for the magnetic moment: 0.0 μB per formula unit. The formation energy without anion corrections is -371 meV per atom.

---

An optimized crystal structure of Ce4PNCl2. Source: Alexandria, functional PBE.

The structure in CIF format:
```
data_Ce4PNCl2
_cell_length_a 3.834
_cell_length_b 6.769
_cell_length_c 7.177
_cell_angle_alpha 107.73
_cell_angle_beta 90.00
_cell_angle_gamma 90.00
_symmetry_space_group_name_H-M 'P 1'
_symmetry_Int_Tables_number 1
loop_
_symmetry_equiv_pos_as_xyz
'x,y,z'
loop_
_atom_site_label
_atom_site_type_symbol
_atom_site_fract_x
_atom_site_fract_y
_atom_site_fract_z
Cl1 Cl 0.500 0.000 0.500
N1 N 0.500 0.500 0.000
P1 P 0.000 0.000 0.000
Ce1 Ce 0.000 0.290 0.796
Ce2 Ce 0.500 0.268 0.217
Cl2 Cl 0.000 0.500 0.500
Ce3 Ce 0.500 0.732 0.783
Ce4 Ce 0.000 0.710 0.204
```

## Properties
The density of states at the Fermi level is 18.49 states/eV/cell. As for the magnetic moment: 3.2 μB per formula unit. The formation energy without anion corrections is -1497 meV per atom.

---

An optimized crystal structure of Ce2CdAs3Pd4. Source: Alexandria, functional PBE.

The structure in CIF format:
```
data_Ce2CdAs3Pd4
_cell_length_a 4.204
_cell_length_b 4.204
_cell_length_c 11.222
_cell_angle_alpha 90.00
_cell_angle_beta 90.00
_cell_angle_gamma 90.00
_symmetry_space_group_name_H-M 'P 1'
_symmetry_Int_Tables_number 1
loop_
_symmetry_equiv_pos_as_xyz
'x,y,z'
loop_
_atom_site_label
_atom_site_type_symbol
_atom_site_fract_x
_atom_site_fract_y
_atom_site_fract_z
Cd1 Cd 0.500 0.500 0.500
Ce1 Ce 0.000 0.500 0.770
Pd1 Pd 0.000 0.000 0.000
As1 As 0.500 0.000 0.867
Ce2 Ce 0.500 0.000 0.230
As2 As 0.000 0.000 0.500
As3 As 0.000 0.500 0.133
Pd2 Pd 0.500 0.500 0.000
Pd3 Pd 0.500 0.000 0.652
Pd4 Pd 0.000 0.500 0.348
```

## Properties
The density of states at the Fermi level is 12.91 states/eV/cell. As for the formation energy from the elements: -0.776 eV/atom. As for the magnetic moment: 1.3 μB per formula unit.

---

An optimized crystal structure of Co2TcSnN. Source: Alexandria, functional PBE.

The structure in CIF format:
```
data_Co2TcSnN
_cell_length_a 3.917
_cell_length_b 3.917
_cell_length_c 4.026
_cell_angle_alpha 90.00
_cell_angle_beta 90.00
_cell_angle_gamma 90.00
_symmetry_space_group_name_H-M 'P 1'
_symmetry_Int_Tables_number 1
loop_
_symmetry_equiv_pos_as_xyz
'x,y,z'
loop_
_atom_site_label
_atom_site_type_symbol
_atom_site_fract_x
_atom_site_fract_y
_atom_site_fract_z
N1 N 0.000 0.000 0.000
Tc1 Tc 0.000 0.000 0.500
Co1 Co 0.000 0.500 0.000
Co2 Co 0.500 0.000 0.000
Sn1 Sn 0.500 0.500 0.500
```

## Properties
The density of states at the Fermi level is 3.82 states/eV/cell. As for the magnetic moment: 0.8 μB per formula unit. The formation energy without anion corrections is 15 meV per atom.

---

An optimized crystal structure of TlSbBr2. Source: Alexandria, functional PBE.

The structure in CIF format:
```
data_TlSbBr2
_cell_length_a 9.983
_cell_length_b 9.983
_cell_length_c 9.983
_cell_angle_alpha 21.69
_cell_angle_beta 21.69
_cell_angle_gamma 21.69
_symmetry_space_group_name_H-M 'P 1'
_symmetry_Int_Tables_number 1
loop_
_symmetry_equiv_pos_as_xyz
'x,y,z'
loop_
_atom_site_label
_atom_site_type_symbol
_atom_site_fract_x
_atom_site_fract_y
_atom_site_fract_z
Br1 Br 0.000 0.000 0.000
Sb1 Sb 0.250 0.250 0.250
Br2 Br 0.500 0.500 0.500
Tl1 Tl 0.750 0.750 0.750
```

## Properties
The density of states at the Fermi level is 1.38 states/eV/cell. As for the magnetic moment: 0.0 μB per formula unit. The formation energy without anion corrections is -229 meV per atom.

---

An optimized crystal structure of Co2ReRu. Source: Alexandria, functional PBE.

The structure in CIF format:
```
data_Co2ReRu
_cell_length_a 2.616
_cell_length_b 2.616
_cell_length_c 8.483
_cell_angle_alpha 90.00
_cell_angle_beta 90.00
_cell_angle_gamma 114.11
_symmetry_space_group_name_H-M 'P 1'
_symmetry_Int_Tables_number 1
loop_
_symmetry_equiv_pos_as_xyz
'x,y,z'
loop_
_atom_site_label
_atom_site_type_symbol
_atom_site_fract_x
_atom_site_fract_y
_atom_site_fract_z
Co1 Co 0.000 0.000 0.011
Co2 Co 0.500 0.500 0.239
Re1 Re 0.000 0.000 0.492
Ru1 Ru 0.500 0.500 0.758
```

## Properties
The density of states at the Fermi level is 6.06 states/eV/cell. As for the formation energy from the elements: 0.343 eV/atom. As for the magnetic moment: 4.1 μB per formula unit. The calculation puts the energy above the lowest structure with this stoichiometry at 290 meV/atom.

---

An optimized crystal structure of NdSi2Bi2Pt7. Source: Alexandria, functional PBE.

The structure in CIF format:
```
data_NdSi2Bi2Pt7
_cell_length_a 4.037
_cell_length_b 4.037
_cell_length_c 15.463
_cell_angle_alpha 82.52
_cell_angle_beta 82.52
_cell_angle_gamma 90.00
_symmetry_space_group_name_H-M 'P 1'
_symmetry_Int_Tables_number 1
loop_
_symmetry_equiv_pos_as_xyz
'x,y,z'
loop_
_atom_site_label
_atom_site_type_symbol
_atom_site_fract_x
_atom_site_fract_y
_atom_site_fract_z
Si1 Si 0.617 0.617 0.763
Bi1 Bi 0.210 0.210 0.580
Nd1 Nd 0.000 0.000 0.000
Si2 Si 0.383 0.383 0.237
Pt1 Pt 0.926 0.426 0.150
Pt2 Pt 0.426 0.926 0.150
Pt3 Pt 0.304 0.304 0.391
Pt4 Pt 0.574 0.074 0.850
Pt5 Pt 0.074 0.574 0.850
Pt6 Pt 0.500 0.500 0.000
Bi2 Bi 0.790 0.790 0.420
Pt7 Pt 0.696 0.696 0.609
```

## Properties
The density of states at the Fermi level is 5.03 states/eV/cell. As for the magnetic moment: 0.0 μB per formula unit. The formation energy without anion corrections is -602 meV per atom.

---

An optimized crystal structure of SrPaOs. Source: Alexandria, functional PBE.

The structure in CIF format:
```
data_SrPaOs
_cell_length_a 5.127
_cell_length_b 9.521
_cell_length_c 8.437
_cell_angle_alpha 91.85
_cell_angle_beta 107.69
_cell_angle_gamma 90.00
_symmetry_space_group_name_H-M 'P 1'
_symmetry_Int_Tables_number 1
loop_
_symmetry_equiv_pos_as_xyz
'x,y,z'
loop_
_atom_site_label
_atom_site_type_symbol
_atom_site_fract_x
_atom_site_fract_y
_atom_site_fract_z
Os1 Os 0.666 0.103 0.332
Os2 Os 0.289 0.365 0.578
Pa1 Pa 0.244 0.650 0.487
Pa2 Pa 0.202 0.093 0.405
Sr1 Sr 0.091 0.392 0.181
Sr2 Sr 0.909 0.608 0.819
Pa3 Pa 0.756 0.350 0.513
Os3 Os 0.334 0.897 0.668
Pa4 Pa 0.798 0.907 0.595
Sr3 Sr 0.445 0.175 0.889
Os4 Os 0.711 0.635 0.422
Sr4 Sr 0.555 0.825 0.111
```

## Properties
The density of states at the Fermi level is 11.02 states/eV/cell. As for the formation energy from the elements: -0.014 eV/atom. As for the magnetic moment: 0.0 μB per formula unit.